Record 1
Co4Te: optimized geometry, GGA-PBE.

Geometry as POSCAR:
```
Co4Te
1.0
-2.7651 2.7651 2.7651
2.7651 -2.7651 2.7651
2.7651 2.7651 -2.7651
Co Te
4 1
Direct
0.5000 0.5000 0.5000 Co
0.0000 0.0000 0.5000 Co
0.0000 0.5000 0.0000 Co
0.5000 0.0000 0.0000 Co
0.0000 0.0000 0.0000 Te
```

Summary:
- Raw total energy: -5.306 eV/atom
- DOS(E_F): 8.62 states/eV/f.u.
- Space group: Im-3m
- Raw formation energy: 1.007 eV/atom



Record 2
HoSN: optimized geometry, GGA-PBE.

Geometry as POSCAR:
```
HoSN
1.0
3.4115 0.0000 0.0000
-1.7058 6.3422 0.0351
0.0000 -2.2206 6.2679
N S Ho
2 2 2
Direct
0.5283 0.0566 0.7681 N
0.4717 0.9434 0.2319 N
0.3740 0.7480 0.6703 S
0.6260 0.2520 0.3297 S
0.0000 0.0000 0.5000 Ho
0.0000 0.0000 0.0000 Ho
```

Summary:
- Raw total energy: -6.644 eV/atom
- DOS(E_F): 0.21 states/eV/f.u.
- Space group: C2/m
- Raw formation energy: -0.967 eV/atom



Record 3
Rb2SrAcF6: optimized geometry, GGA-PBE.

Geometry as POSCAR:
```
Rb2SrAcF6
1.0
-2.3323 -1.3393 6.4300
6.4999 -1.4475 2.0573
2.7463 3.3376 5.4640
Rb Ac F Sr
2 1 6 1
Direct
0.2500 0.7500 0.5000 Rb
0.7500 0.2500 0.5000 Rb
0.5000 0.5000 0.0000 Ac
0.2514 0.2514 0.4971 F
0.7486 0.7486 0.5029 F
0.7486 0.2514 0.0000 F
0.2514 0.2514 0.0000 F
0.7486 0.7486 0.0000 F
0.2514 0.7486 0.0000 F
0.0000 0.0000 0.0000 Sr
```

Summary:
- Raw total energy: -5.169 eV/atom
- DOS(E_F): 1.63 states/eV/f.u.
- Space group: Fm-3m
- Raw formation energy: -3.274 eV/atom



Record 4
TbNiS: optimized geometry, GGA-PBE.

Geometry as POSCAR:
```
TbNiS
1.0
3.6571 0.0000 0.0000
-1.8286 3.1674 0.0000
0.0000 0.0000 9.8232
Tb Ni S
2 2 2
Direct
0.2778 0.5556 0.1967 Tb
0.2778 0.5556 0.8033 Tb
0.6111 0.2221 0.3818 Ni
0.6111 0.2221 0.6182 Ni
0.2777 0.5555 0.5000 S
0.6112 0.2223 0.0000 S
```

Summary:
- Raw total energy: -5.646 eV/atom
- DOS(E_F): 2.02 states/eV/f.u.
- Space group: P-6m2
- Raw formation energy: -0.799 eV/atom



Record 5
Ca3WSe: optimized geometry, GGA-PBE.

Geometry as POSCAR:
```
Ca3WSe
1.0
-4.8377 1.2240 -2.2916
1.7927 -1.9329 -4.8169
-1.8804 -4.9918 1.3033
W Ca Se
1 3 1
Direct
0.5000 0.5000 0.5000 W
0.0000 0.5000 0.0000 Ca
0.0000 0.0000 0.5000 Ca
0.5000 0.0000 0.0000 Ca
0.0000 0.0000 0.0000 Se
```

Summary:
- Raw total energy: -4.136 eV/atom
- DOS(E_F): 3.17 states/eV/f.u.
- Space group: Pm-3m
- Raw formation energy: 0.352 eV/atom



Record 6
HfP: optimized geometry, GGA-PBE.

Geometry as POSCAR:
```
HfP
1.0
-3.0252 -1.2470 2.0686
1.0060 -5.5217 -1.8574
7.5365 -1.9408 9.8518
Hf P
6 6
Direct
0.0000 0.9814 0.1354 Hf
0.5000 0.0186 0.3646 Hf
0.0000 0.9814 0.8646 Hf
0.5000 0.3724 0.0000 Hf
0.0000 0.6276 0.5000 Hf
0.5000 0.0186 0.6354 Hf
0.0000 0.6608 0.0000 P
0.5000 0.3392 0.5000 P
0.5000 0.2334 0.1902 P
0.5000 0.2334 0.8098 P
0.0000 0.7666 0.6902 P
0.0000 0.7666 0.3098 P
```

Summary:
- Raw total energy: -8.358 eV/atom
- DOS(E_F): 1.06 states/eV/f.u.
- Space group: Pmmn
- Energy relative to the elements: -1.35 eV/f.u.



Record 7
MgTl2P: optimized geometry, GGA-PBE.

Geometry as POSCAR:
```
MgTl2P
1.0
-0.4419 -0.8796 -7.6872
3.2660 -2.0858 -6.7115
0.1523 -4.5846 -6.2466
Mg Tl P
1 2 1
Direct
0.2500 0.2500 0.2500 Mg
0.0114 0.0114 0.0114 Tl
0.4886 0.4886 0.4886 Tl
0.7500 0.7500 0.7500 P
```

Summary:
- Raw total energy: -2.760 eV/atom
- DOS(E_F): 2.24 states/eV/f.u.
- Space group: R-3m
- Energy relative to the elements: 0.70 eV/f.u.



Record 8
Rb2Tl5Pd4: optimized geometry, GGA-PBE.

Geometry as POSCAR:
```
Rb2Tl5Pd4
1.0
-2.6014 -7.0829 -3.5063
4.1932 -4.3776 -4.1401
-0.3630 -6.8457 4.2258
Rb Pd Tl
2 4 5
Direct
0.2572 0.8335 0.6520 Rb
0.7428 0.1665 0.3480 Rb
0.6659 0.8702 0.7980 Pd
0.8458 0.4272 0.8812 Pd
0.3341 0.1298 0.2020 Pd
0.1542 0.5728 0.1188 Pd
0.6358 0.2467 0.8813 Tl
0.0000 0.5000 0.5000 Tl
0.2362 0.2467 0.8813 Tl
0.3642 0.7533 0.1187 Tl
0.7638 0.7533 0.1187 Tl
```

Summary:
- Raw total energy: -3.268 eV/atom
- DOS(E_F): 4.32 states/eV/f.u.
- Space group: C2/m
- Energy relative to the elements: -1.41 eV/f.u.



Record 9
Tb12CdIn6: optimized geometry, GGA-PBE.

Geometry as POSCAR:
```
Tb12CdIn6
1.0
-4.4227 -1.1012 -7.6161
7.2287 -5.1346 -0.3987
-5.1317 -3.1954 6.4986
Tb Cd In
12 1 6
Direct
0.9298 0.6717 0.5765 Tb
0.6715 0.9689 0.1065 Tb
0.3285 0.0311 0.8935 Tb
0.0311 0.8935 0.3285 Tb
0.8935 0.3285 0.0311 Tb
0.3283 0.4235 0.0702 Tb
0.9689 0.1065 0.6715 Tb
0.4235 0.0702 0.3283 Tb
0.0702 0.3283 0.4235 Tb
0.5765 0.9298 0.6717 Tb
0.6717 0.5765 0.9298 Tb
0.1065 0.6715 0.9689 Tb
0.0000 0.0000 0.0000 Cd
0.7703 0.3440 0.6510 In
0.6560 0.3490 0.2297 In
0.3490 0.2297 0.6560 In
0.6510 0.7703 0.3440 In
0.3440 0.6510 0.7703 In
0.2297 0.6560 0.3490 In
```

Summary:
- Raw total energy: -3.962 eV/atom
- DOS(E_F): 21.43 states/eV/f.u.
- Space group: R-3
- Energy relative to the elements: -2.38 eV/f.u.



Record 10
Ac2Mg6CdCu: optimized geometry, GGA-PBE.

Geometry as POSCAR:
```
Ac2Mg6CdCu
1.0
7.3124 0.0030 0.0029
0.0038 7.3135 0.0030
3.6601 3.6603 5.1764
Mg Cd Cu Ac
6 1 1 2
Direct
0.7616 0.2384 0.0000 Mg
0.2385 0.2385 0.5232 Mg
0.2385 0.2385 0.9998 Mg
0.2384 0.7616 0.0000 Mg
0.7615 0.7615 0.0002 Mg
0.7615 0.7615 0.4768 Mg
0.5000 0.5000 0.0000 Cd
0.0000 0.0000 0.0000 Cu
0.7501 0.2499 0.5000 Ac
0.2499 0.7501 0.5000 Ac
```

Summary:
- Raw total energy: -2.273 eV/atom
- DOS(E_F): 5.25 states/eV/f.u.
- Space group: Immm
- Energy relative to the elements: 0.06 eV/f.u.



Record 11
AcPr6NdTm2: optimized geometry, GGA-PBE.

Geometry as POSCAR:
```
AcPr6NdTm2
1.0
9.4074 -2.1104 -2.1901
0.9453 8.8041 -2.0008
0.9453 -2.3257 8.7239
Pr Nd Ac Tm
12 2 2 4
Direct
0.9452 0.8899 0.2449 Pr
0.1188 0.7049 0.4853 Pr
0.1792 0.5511 0.0088 Pr
0.6792 0.0088 0.5511 Pr
0.3812 0.5147 0.2951 Pr
0.6188 0.4853 0.7049 Pr
0.8208 0.4489 0.9912 Pr
0.4452 0.2449 0.8899 Pr
0.5548 0.7551 0.1101 Pr
0.3208 0.9912 0.4489 Pr
0.0548 0.1101 0.7551 Pr
0.8812 0.2951 0.5147 Pr
0.7500 0.5909 0.4091 Nd
0.2500 0.4091 0.5909 Nd
0.2500 0.9667 0.0333 Ac
0.7500 0.0333 0.9667 Ac
0.9506 0.6951 0.7973 Tm
0.5494 0.2027 0.3049 Tm
0.0494 0.3049 0.2027 Tm
0.4506 0.7973 0.6951 Tm
```

Summary:
- Raw total energy: -4.536 eV/atom
- DOS(E_F): 14.06 states/eV/f.u.
- Space group: C2/c
- Energy relative to the elements: 1.14 eV/f.u.



Record 12
CuPtS: optimized geometry, GGA-PBE.

Geometry as POSCAR:
```
CuPtS
1.0
-4.6793 0.0065 -2.6514
-3.0480 -7.1691 5.3615
0.0757 2.5056 3.3934
Pt Cu S
4 4 4
Direct
0.8580 0.2498 0.6903 Pt
0.3580 0.7502 0.1903 Pt
0.8580 0.7498 0.1903 Pt
0.3580 0.2502 0.6903 Pt
0.3556 0.5004 0.9384 Cu
0.8556 0.9996 0.9384 Cu
0.3556 0.0004 0.4384 Cu
0.8556 0.4996 0.4384 Cu
0.6075 0.6189 0.6902 S
0.6075 0.1189 0.1902 S
0.1075 0.8811 0.6902 S
0.1075 0.3811 0.1902 S
```

Summary:
- Raw total energy: -4.846 eV/atom
- DOS(E_F): 0.90 states/eV/f.u.
- Space group: Cc
- Raw formation energy: -0.092 eV/atom